[1]
Here is a geometry-optimized LiHoAl3 structure from the Alexandria database. Energies are from GGA-PBE.

* DOS(E_F): 6.07 states/eV per cell
* spin magnetization: 0.00 μB per atom
* crystal system: orthorhombic
* SG: Cmcm (63)
* energy of formation from the pure elements: -132.0 kJ/mol of formula units

Cell lengths 13.508, 13.508, 4.508 Å; angles 90.00, 90.00, 165.85 degrees
Positions (direct):
1 Li 0.215 0.785 0.750
2 Li 0.785 0.215 0.250
3 Ho 0.075 0.925 0.250
4 Ho 0.925 0.075 0.750
5 Al 0.322 0.678 0.750
6 Al 0.374 0.626 0.250
7 Al 0.475 0.525 0.250
8 Al 0.525 0.475 0.750
9 Al 0.626 0.374 0.750
10 Al 0.678 0.322 0.250

=====

[2]
Here is a geometry-optimized In2GaBi structure from the Alexandria database. Energies are from GGA-PBE.

* relative energy among the computed polymorphs: 151 meV/atom
* DOS(E_F): 8.86 states/eV per cell
* spin magnetization: 0.00 μB per atom
* crystal system: tetragonal
* SG: I-42d (122)
* energy of formation from the pure elements: 75.8 kJ/mol of formula units

Cell lengths 6.644, 6.644, 12.895 Å; angles 90.00, 90.00, 90.00 degrees
Positions (direct):
1 In 0.219 0.250 0.125
2 In 0.250 0.719 0.375
3 In 0.250 0.781 0.875
4 In 0.281 0.250 0.625
5 In 0.719 0.750 0.625
6 In 0.750 0.219 0.875
7 In 0.750 0.281 0.375
8 In 0.781 0.750 0.125
9 Ga 0.000 0.000 0.000
10 Ga 0.000 0.500 0.250
11 Ga 0.500 0.000 0.750
12 Ga 0.500 0.500 0.500
13 Bi 0.000 0.000 0.500
14 Bi 0.000 0.500 0.750
15 Bi 0.500 0.000 0.250
16 Bi 0.500 0.500 0.000

=====

[3]
Here is a geometry-optimized BiSb2OsO structure from the Alexandria database. Energies are from GGA-PBE.

* formation energy without anion corrections: -0.086 eV per atom
* DOS(E_F): 2.98 states/eV per cell
* spin magnetization: 0.00 μB per atom
* crystal system: tetragonal
* SG: P4/mmm (123)

Cell lengths 5.563, 5.563, 3.710 Å; angles 90.00, 90.00, 90.00 degrees
Positions (direct):
1 Bi 0.000 0.000 0.000
2 Sb 0.000 0.500 0.500
3 Sb 0.500 0.000 0.500
4 Os 0.500 0.500 0.500
5 O 0.500 0.500 0.000